# 1
# RbPdS (PBE-GGA, optimized geometry)
# * formation energy from raw total energies: -0.6320 eV/atom
# * E_tot: -4.061 eV per atom
# * Fermi-level density of states: 2.883 states/eV/f.u.
data_RbPdS
_symmetry_space_group_name_H-M 'P 1'
_symmetry_Int_Tables_number 1
_symmetry_space_group_name_Hall 'P 1'
_cell_length_a 5.267
_cell_length_b 4.111
_cell_length_c 4.111
_cell_angle_alpha 120.00
_cell_angle_beta 90.00
_cell_angle_gamma 90.00
loop_
_atom_site_label
_atom_site_type_symbol
_atom_site_fract_x
_atom_site_fract_y
_atom_site_fract_z
S1 S 0.166 0.000 0.000
Rb1 Rb 0.667 0.667 0.333
Pd1 Pd 0.167 0.333 0.667

# 2
# La2Nd2Sm2Mg (PBE-GGA, optimized geometry)
# * E_tot: -4.266 eV per atom
# * energy of formation from the pure elements: 0.081 eV/atom
# * Fermi-level density of states: 11.892 states/eV/f.u.
data_La2Nd2Sm2Mg
_symmetry_space_group_name_H-M 'P 1'
_symmetry_Int_Tables_number 1
_symmetry_space_group_name_Hall 'P 1'
_cell_length_a 3.538
_cell_length_b 6.239
_cell_length_c 11.999
_cell_angle_alpha 110.09
_cell_angle_beta 90.00
_cell_angle_gamma 106.47
loop_
_atom_site_label
_atom_site_type_symbol
_atom_site_fract_x
_atom_site_fract_y
_atom_site_fract_z
La1 La 0.551 0.102 0.767
La2 La 0.449 0.898 0.233
Nd1 Nd 0.764 0.528 0.636
Nd2 Nd 0.236 0.472 0.364
Sm1 Sm 0.666 0.333 0.084
Sm2 Sm 0.334 0.667 0.916
Mg1 Mg 0.000 0.000 0.500

# 3
# Tb3NpN6 (PBE-GGA, optimized geometry)
# * formation energy from raw total energies: -1.0768 eV/atom
# * E_tot: -8.755 eV per atom
# * Fermi-level density of states: 9.028 states/eV/f.u.
data_Tb3NpN6
_symmetry_space_group_name_H-M 'P 1'
_symmetry_Int_Tables_number 1
_symmetry_space_group_name_Hall 'P 1'
_cell_length_a 6.770
_cell_length_b 6.770
_cell_length_c 6.770
_cell_angle_alpha 91.49
_cell_angle_beta 91.49
_cell_angle_gamma 91.49
loop_
_atom_site_label
_atom_site_type_symbol
_atom_site_fract_x
_atom_site_fract_y
_atom_site_fract_z
Tb1 Tb 0.059 0.555 0.251
Tb2 Tb 0.251 0.059 0.555
Tb3 Tb 0.445 0.749 0.941
Tb4 Tb 0.555 0.251 0.059
Tb5 Tb 0.749 0.941 0.445
Tb6 Tb 0.941 0.445 0.749
Np1 Np 0.000 0.000 0.000
Np2 Np 0.500 0.500 0.500
N1 N 0.080 0.707 0.940
N2 N 0.060 0.920 0.293
N3 N 0.208 0.410 0.535
N4 N 0.293 0.060 0.920
N5 N 0.410 0.535 0.208
N6 N 0.465 0.792 0.590
N7 N 0.535 0.208 0.410
N8 N 0.590 0.465 0.792
N9 N 0.707 0.940 0.080
N10 N 0.792 0.590 0.465
N11 N 0.940 0.080 0.707
N12 N 0.920 0.293 0.060

# 4
# Nd2Tm6Sc (PBE-GGA, optimized geometry)
# * E_tot: -4.639 eV per atom
# * energy of formation from the pure elements: 0.105 eV/atom
# * Fermi-level density of states: 12.600 states/eV/f.u.
data_Nd2Tm6Sc
_symmetry_space_group_name_H-M 'P 1'
_symmetry_Int_Tables_number 1
_symmetry_space_group_name_Hall 'P 1'
_cell_length_a 5.979
_cell_length_b 9.922
_cell_length_c 9.922
_cell_angle_alpha 70.30
_cell_angle_beta 84.23
_cell_angle_gamma 84.23
loop_
_atom_site_label
_atom_site_type_symbol
_atom_site_fract_x
_atom_site_fract_y
_atom_site_fract_z
Nd1 Nd 0.438 0.567 0.775
Nd2 Nd 0.062 0.225 0.433
Nd3 Nd 0.562 0.433 0.225
Nd4 Nd 0.938 0.775 0.567
Tm1 Tm 0.489 0.691 0.407
Tm2 Tm 0.011 0.593 0.309
Tm3 Tm 0.511 0.309 0.593
Tm4 Tm 0.989 0.407 0.691
Tm5 Tm 0.635 0.068 0.341
Tm6 Tm 0.865 0.659 0.932
Tm7 Tm 0.365 0.932 0.659
Tm8 Tm 0.135 0.341 0.068
Tm9 Tm 0.327 0.761 0.024
Tm10 Tm 0.173 0.976 0.239
Tm11 Tm 0.673 0.239 0.976
Tm12 Tm 0.827 0.024 0.761
Sc1 Sc 0.250 0.104 0.896
Sc2 Sc 0.750 0.896 0.104

# 5
# BaZr3 (PBE-GGA, optimized geometry)
# * E_tot: -6.470 eV per atom
# * energy of formation from the pure elements: 0.422 eV/atom
# * Fermi-level density of states: 4.587 states/eV/f.u.
data_BaZr3
_symmetry_space_group_name_H-M 'P 1'
_symmetry_Int_Tables_number 1
_symmetry_space_group_name_Hall 'P 1'
_cell_length_a 3.266
_cell_length_b 5.188
_cell_length_c 7.024
_cell_angle_alpha 90.00
_cell_angle_beta 90.00
_cell_angle_gamma 90.00
loop_
_atom_site_label
_atom_site_type_symbol
_atom_site_fract_x
_atom_site_fract_y
_atom_site_fract_z
Ba1 Ba 0.000 0.000 0.035
Zr1 Zr 0.500 0.000 0.537
Zr2 Zr 0.500 0.500 0.727
Zr3 Zr 0.000 0.500 0.368

# 6
# HoZrIr (PBE-GGA, optimized geometry)
# * E_tot: -7.896 eV per atom
# * energy of formation from the pure elements: -0.567 eV/atom
# * Fermi-level density of states: 3.115 states/eV/f.u.
data_HoZrIr
_symmetry_space_group_name_H-M 'P 1'
_symmetry_Int_Tables_number 1
_symmetry_space_group_name_Hall 'P 1'
_cell_length_a 5.852
_cell_length_b 7.167
_cell_length_c 7.167
_cell_angle_alpha 79.04
_cell_angle_beta 77.90
_cell_angle_gamma 77.90
loop_
_atom_site_label
_atom_site_type_symbol
_atom_site_fract_x
_atom_site_fract_y
_atom_site_fract_z
Ho1 Ho 0.218 0.664 0.914
Ho2 Ho 0.782 0.836 0.586
Ho3 Ho 0.782 0.336 0.086
Ho4 Ho 0.218 0.164 0.414
Ir1 Ir 0.089 0.438 0.688
Ir2 Ir 0.088 0.938 0.188
Ir3 Ir 0.911 0.562 0.312
Ir4 Ir 0.912 0.062 0.812
Zr1 Zr 0.670 0.360 0.610
Zr2 Zr 0.670 0.860 0.110
Zr3 Zr 0.330 0.640 0.390
Zr4 Zr 0.330 0.140 0.890

# 7
# AgOsCl2F6 (PBE-GGA, optimized geometry)
# * formation energy from raw total energies: -1.2866 eV/atom
# * E_tot: -4.187 eV per atom
data_AgOsCl2F6
_symmetry_space_group_name_H-M 'P 1'
_symmetry_Int_Tables_number 1
_symmetry_space_group_name_Hall 'P 1'
_cell_length_a 7.578
_cell_length_b 7.378
_cell_length_c 7.590
_cell_angle_alpha 90.00
_cell_angle_beta 90.00
_cell_angle_gamma 90.00
loop_
_atom_site_label
_atom_site_type_symbol
_atom_site_fract_x
_atom_site_fract_y
_atom_site_fract_z
Ag1 Ag 0.000 0.820 0.500
Ag2 Ag 0.500 0.180 0.000
Os1 Os 0.500 0.982 0.500
Os2 Os 0.000 0.018 0.000
Cl1 Cl 0.500 0.544 0.132
Cl2 Cl 0.000 0.456 0.632
Cl3 Cl 0.500 0.544 0.868
Cl4 Cl 0.000 0.456 0.368
F1 F 0.500 0.979 0.247
F2 F 0.500 0.979 0.753
F3 F 0.000 0.021 0.253
F4 F 0.000 0.021 0.747
F5 F 0.321 0.795 0.500
F6 F 0.679 0.795 0.500
F7 F 0.322 0.163 0.500
F8 F 0.678 0.163 0.500
F9 F 0.822 0.837 0.000
F10 F 0.178 0.837 0.000
F11 F 0.179 0.205 0.000
F12 F 0.821 0.205 0.000

# 8
# CaNi3Sn (PBE-GGA, optimized geometry)
# * E_tot: -3.492 eV per atom
# * energy of formation from the pure elements: 1.178 eV/atom
# * Fermi-level density of states: 3.591 states/eV/f.u.
data_CaNi3Sn
_symmetry_space_group_name_H-M 'P 1'
_symmetry_Int_Tables_number 1
_symmetry_space_group_name_Hall 'P 1'
_cell_length_a 4.584
_cell_length_b 4.584
_cell_length_c 4.584
_cell_angle_alpha 90.00
_cell_angle_beta 90.00
_cell_angle_gamma 90.00
loop_
_atom_site_label
_atom_site_type_symbol
_atom_site_fract_x
_atom_site_fract_y
_atom_site_fract_z
Ni1 Ni 0.000 0.500 0.000
Ni2 Ni 0.000 0.000 0.500
Ni3 Ni 0.500 0.000 0.000
Ca1 Ca 0.000 0.000 0.000
Sn1 Sn 0.500 0.500 0.500

# 9
# DyCu6Ge2 (PBE-GGA, optimized geometry)
# * E_tot: -4.495 eV per atom
# * energy of formation from the pure elements: -0.227 eV/atom
# * Fermi-level density of states: 4.521 states/eV/f.u.
data_DyCu6Ge2
_symmetry_space_group_name_H-M 'P 1'
_symmetry_Int_Tables_number 1
_symmetry_space_group_name_Hall 'P 1'
_cell_length_a 4.079
_cell_length_b 4.079
_cell_length_c 8.050
_cell_angle_alpha 90.00
_cell_angle_beta 90.00
_cell_angle_gamma 90.00
loop_
_atom_site_label
_atom_site_type_symbol
_atom_site_fract_x
_atom_site_fract_y
_atom_site_fract_z
Dy1 Dy 0.000 0.000 0.000
Cu1 Cu 0.000 0.500 0.316
Cu2 Cu 0.500 0.000 0.316
Cu3 Cu 0.000 0.500 0.684
Cu4 Cu 0.500 0.000 0.684
Cu5 Cu 0.500 0.500 0.500
Cu6 Cu 0.000 0.000 0.500
Ge1 Ge 0.500 0.500 0.154
Ge2 Ge 0.500 0.500 0.846

# 10
# K2SbPb2 (PBE-GGA, optimized geometry)
# * formation energy from raw total energies: -0.1529 eV/atom
# * E_tot: -2.900 eV per atom
# * Fermi-level density of states: 2.511 states/eV/f.u.
data_K2SbPb2
_symmetry_space_group_name_H-M 'P 1'
_symmetry_Int_Tables_number 1
_symmetry_space_group_name_Hall 'P 1'
_cell_length_a 8.135
_cell_length_b 8.135
_cell_length_c 5.814
_cell_angle_alpha 90.00
_cell_angle_beta 90.00
_cell_angle_gamma 90.00
loop_
_atom_site_label
_atom_site_type_symbol
_atom_site_fract_x
_atom_site_fract_y
_atom_site_fract_z
Pb1 Pb 0.366 0.866 0.000
Pb2 Pb 0.866 0.634 0.000
Pb3 Pb 0.634 0.134 0.000
Pb4 Pb 0.134 0.366 0.000
Sb1 Sb 0.000 0.000 0.000
Sb2 Sb 0.500 0.500 0.000
K1 K 0.179 0.679 0.500
K2 K 0.679 0.821 0.500
K3 K 0.821 0.321 0.500
K4 K 0.321 0.179 0.500